Entry 1:
# SiTeNO2 PBE relaxed
# raw formation energy = 0.356 eV/atom
# magnetization = 0.00 μB/f.u.
# density of states at the Fermi level = 0.175 states/eV/atom
data_SiTeNO2
_chemical_formula_sum 'Si1 Te1 N1 O2'
_space_group_name_H-M_alt 'P 4/m m m'
_space_group_IT_number 123
_space_group_name_Hall '-P 4 2'
_cell_length_a 4.0437
_cell_length_b 4.0437
_cell_length_c 4.1532
_cell_angle_alpha 90.00
_cell_angle_beta 90.00
_cell_angle_gamma 90.00
loop_
_atom_site_label
_atom_site_fract_x
_atom_site_fract_y
_atom_site_fract_z
Si1 0.0000 0.0000 0.0000
Te1 0.5000 0.5000 0.5000
N1 0.5000 0.5000 0.0000
O1 0.0000 0.5000 0.5000

Entry 2:
# Ta2CoNi PBE relaxed
# formation energy from the elements = -0.141 eV per atom
# magnetization = 0.00 μB/f.u.
# density of states at the Fermi level = 0.934 states/eV/atom
data_Ta2CoNi
_chemical_formula_sum 'Ta4 Co2 Ni2'
_space_group_name_H-M_alt 'C 1 2/m 1'
_space_group_IT_number 12
_cell_length_a 5.5630
_cell_length_b 7.3148
_cell_length_c 2.8093
_cell_angle_alpha 90.00
_cell_angle_beta 90.34
_cell_angle_gamma 90.00
loop_
_space_group_symop_operation_xyz
'x,y,z'
'-x,-y,-z'
'-x,y,-z'
'x,-y,z'
'x+1/2,y+1/2,z'
'-x+1/2,-y+1/2,-z'
'-x+1/2,y+1/2,-z'
'x+1/2,-y+1/2,z'
loop_
_atom_site_label
_atom_site_fract_x
_atom_site_fract_y
_atom_site_fract_z
Ta1 0.2500 0.2500 0.0000
Co1 0.0000 0.0000 0.5000
Ni1 0.0000 0.5000 0.5000

Entry 3:
# Rb2PaSbS5 PBE relaxed
# raw formation energy = -1.118 eV/atom
# magnetization = 0.00 μB/f.u.
data_Rb2PaSbS5
_chemical_formula_sum 'Rb8 Pa4 Sb4 S20'
_space_group_name_H-M_alt 'C m c 21'
_space_group_IT_number 36
_cell_length_a 4.2858
_cell_length_b 18.2648
_cell_length_c 15.0533
_cell_angle_alpha 90.00
_cell_angle_beta 90.00
_cell_angle_gamma 90.00
loop_
_space_group_symop_operation_xyz
'x,y,z'
'-x,-y,z+1/2'
'-x,y,z'
'x,-y,z+1/2'
'x+1/2,y+1/2,z'
'-x+1/2,-y+1/2,z+1/2'
'-x+1/2,y+1/2,z'
'x+1/2,-y+1/2,z+1/2'
loop_
_atom_site_label
_atom_site_fract_x
_atom_site_fract_y
_atom_site_fract_z
Rb1 0.0000 0.0942 0.0000
Rb2 0.0000 0.1401 0.6521
Pa1 0.0000 0.2133 0.3759
Sb1 0.0000 0.4577 0.7819
S1 0.0000 0.0716 0.3980
S2 0.0000 0.2763 0.9846
S3 0.0000 0.3178 0.7601
S4 0.0000 0.3452 0.3328
S5 0.0000 0.4950 0.6305

magnetization of number 2 (Ta2CoNi)?
0.00 μB/f.u.